A geometry-optimized Mg6ZnSb structure, computed with PBE.

Cell and atoms, written as CIF:
```
data_Mg6ZnSb
_symmetry_space_group_name_H-M 'A m m 2'
_symmetry_Int_Tables_number 38
_cell_length_a 4.9223
_cell_length_b 6.6005
_cell_length_c 10.8794
_cell_angle_alpha 90.00
_cell_angle_beta 90.00
_cell_angle_gamma 90.00
loop_
_symmetry_equiv_pos_as_xyz
'x,y,z'
'-x,-y,z'
'-x,y,z'
'x,-y,z'
'x,y+1/2,z+1/2'
'-x,-y+1/2,z+1/2'
'-x,y+1/2,z+1/2'
'x,-y+1/2,z+1/2'
loop_
_atom_site_label
_atom_site_type_symbol
_atom_site_fract_x
_atom_site_fract_y
_atom_site_fract_z
_atom_site_occupancy
Mg1 Mg 0.0000 0.0000 0.0000 1
Mg2 Mg 0.0000 0.0000 0.4951 1
Mg3 Mg 0.0000 0.2317 0.2479 1
Mg4 Mg 0.5000 0.2488 0.5751 1
Zn1 Zn 0.5000 0.0000 0.3315 1
Sb1 Sb 0.5000 0.0000 0.8247 1
```

Density (Mg/m³): 3.1
Formation energy from raw total energies (eV per atom): -0.051

=====

A geometry-optimized Mg3ZnSb structure, computed with PBE.

Cell and atoms, written as CIF:
```
data_Mg3ZnSb
_symmetry_space_group_name_H-M 'P m -3 m'
_symmetry_Int_Tables_number 221
_symmetry_space_group_name_Hall '-P 4 2 3'
_cell_length_a 4.9920
_cell_length_b 4.9920
_cell_length_c 4.9920
_cell_angle_alpha 90.00
_cell_angle_beta 90.00
_cell_angle_gamma 90.00
loop_
_atom_site_label
_atom_site_type_symbol
_atom_site_fract_x
_atom_site_fract_y
_atom_site_fract_z
_atom_site_occupancy
Mg1 Mg 0.0000 0.0000 0.5000 1
Zn1 Zn 0.0000 0.0000 0.0000 1
Sb1 Sb 0.5000 0.5000 0.5000 1
```

Density (Mg/m³): 3.5
Formation energy from raw total energies (eV per atom): 0.147
Polymorph energy (0 for the lowest one) (meV/atom): 0.0

=====

A geometry-optimized Mg6ZnSb structure, computed with PBE.

Cell and atoms, written as CIF:
```
data_Mg6ZnSb
_symmetry_space_group_name_H-M 'A m m 2'
_symmetry_Int_Tables_number 38
_cell_length_a 5.0224
_cell_length_b 6.3260
_cell_length_c 11.1649
_cell_angle_alpha 90.00
_cell_angle_beta 90.00
_cell_angle_gamma 90.00
loop_
_symmetry_equiv_pos_as_xyz
'x,y,z'
'-x,-y,z'
'-x,y,z'
'x,-y,z'
'x,y+1/2,z+1/2'
'-x,-y+1/2,z+1/2'
'-x,y+1/2,z+1/2'
'x,-y+1/2,z+1/2'
loop_
_atom_site_label
_atom_site_type_symbol
_atom_site_fract_x
_atom_site_fract_y
_atom_site_fract_z
_atom_site_occupancy
Mg1 Mg 0.0000 0.0000 0.0000 1
Mg2 Mg 0.0000 0.2422 0.7420 1
Mg3 Mg 0.5000 0.0000 0.1682 1
Mg4 Mg 0.5000 0.2489 0.9206 1
Zn1 Zn 0.5000 0.0000 0.7085 1
Sb1 Sb 0.0000 0.0000 0.4935 1
```

Density (Mg/m³): 3.1
Formation energy from raw total energies (eV per atom): -0.052

=====

A geometry-optimized MgZn2Sb2 structure, computed with PBE.

Cell and atoms, written as CIF:
```
data_MgZn2Sb2
_symmetry_space_group_name_H-M 'P -3 m 1'
_symmetry_Int_Tables_number 164
_symmetry_space_group_name_Hall '-P 3 2"'
_cell_length_a 4.3708
_cell_length_b 4.3708
_cell_length_c 7.3009
_cell_angle_alpha 90.00
_cell_angle_beta 90.00
_cell_angle_gamma 120.00
loop_
_atom_site_label
_atom_site_type_symbol
_atom_site_fract_x
_atom_site_fract_y
_atom_site_fract_z
_atom_site_occupancy
Mg1 Mg 0.0000 0.0000 0.0000 1
Zn1 Zn 0.3333 0.6667 0.6170 1
Sb1 Sb 0.3333 0.6667 0.2348 1
```

Density (Mg/m³): 5.5
Formation energy from raw total energies (eV per atom): -0.123

=====

A geometry-optimized MgZnSb2 structure, computed with PBE.

Cell and atoms, written as CIF:
```
data_MgZnSb2
_symmetry_space_group_name_H-M 'I m m m'
_symmetry_Int_Tables_number 71
_symmetry_space_group_name_Hall '-I 2 2'
_cell_length_a 4.1695
_cell_length_b 5.2384
_cell_length_c 8.6475
_cell_angle_alpha 90.00
_cell_angle_beta 90.00
_cell_angle_gamma 90.00
loop_
_atom_site_label
_atom_site_type_symbol
_atom_site_fract_x
_atom_site_fract_y
_atom_site_fract_z
_atom_site_occupancy
Mg1 Mg 0.0000 0.0000 0.0000 1
Zn1 Zn 0.0000 0.0000 0.5000 1
Sb1 Sb 0.0000 0.5000 0.2322 1
```

Density (Mg/m³): 5.9
Formation energy from raw total energies (eV per atom): 0.023
Polymorph energy (0 for the lowest one) (meV/atom): 51.2

=====

A geometry-optimized MgZnSb2 structure, computed with PBE.

Cell and atoms, written as CIF:
```
data_MgZnSb2
_symmetry_space_group_name_H-M 'C 1 m 1'
_symmetry_Int_Tables_number 8
_cell_length_a 11.1241
_cell_length_b 3.2121
_cell_length_c 5.3127
_cell_angle_alpha 90.00
_cell_angle_beta 90.01
_cell_angle_gamma 90.00
loop_
_symmetry_equiv_pos_as_xyz
'x,y,z'
'x,-y,z'
'x+1/2,y+1/2,z'
'x+1/2,-y+1/2,z'
loop_
_atom_site_label
_atom_site_type_symbol
_atom_site_fract_x
_atom_site_fract_y
_atom_site_fract_z
_atom_site_occupancy
Mg1 Mg 0.0000 0.0000 0.0000 1
Zn1 Zn 0.2265 0.0000 0.5045 1
Sb1 Sb 0.2328 0.5000 0.0037 1
Sb2 Sb 0.4816 0.0000 0.5009 1
```

Density (Mg/m³): 5.8
Formation energy from raw total energies (eV per atom): 0.010
Polymorph energy (0 for the lowest one) (meV/atom): 37.4

=====

A geometry-optimized Mg3ZnSb3 structure, computed with PBE.

Cell and atoms, written as CIF:
```
data_Mg3ZnSb3
_symmetry_space_group_name_H-M 'C m c e'
_symmetry_Int_Tables_number 64
_symmetry_space_group_name_Hall '-C 2ac 2'
_cell_length_a 17.4433
_cell_length_b 7.0431
_cell_length_c 11.6713
_cell_angle_alpha 90.00
_cell_angle_beta 90.00
_cell_angle_gamma 90.00
loop_
_atom_site_label
_atom_site_type_symbol
_atom_site_fract_x
_atom_site_fract_y
_atom_site_fract_z
_atom_site_occupancy
Mg1 Mg 0.0000 0.1492 0.1139 1
Mg2 Mg 0.1699 0.1528 0.8855 1
Zn1 Zn 0.0873 0.0000 0.5000 1
Sb1 Sb 0.0000 0.2367 0.3595 1
Sb2 Sb 0.1657 0.2408 0.6359 1
```

Density (Mg/m³): 4.7
Formation energy from raw total energies (eV per atom): -0.213

=====

A geometry-optimized MgZn2Sb2 structure, computed with PBE.

Cell and atoms, written as CIF:
```
data_MgZn2Sb2
_symmetry_space_group_name_H-M 'P 4/m b m'
_symmetry_Int_Tables_number 127
_symmetry_space_group_name_Hall '-P 4 2ab'
_cell_length_a 7.9762
_cell_length_b 7.9762
_cell_length_c 3.6651
_cell_angle_alpha 90.00
_cell_angle_beta 90.00
_cell_angle_gamma 90.00
loop_
_atom_site_label
_atom_site_type_symbol
_atom_site_fract_x
_atom_site_fract_y
_atom_site_fract_z
_atom_site_occupancy
Mg1 Mg 0.0000 0.0000 0.0000 1
Zn1 Zn 0.1186 0.3814 0.5000 1
Sb1 Sb 0.1819 0.6819 0.0000 1
```

Density (Mg/m³): 5.7
Formation energy from raw total energies (eV per atom): 0.092

=====

A geometry-optimized MgZnSb2 structure, computed with PBE.

Cell and atoms, written as CIF:
```
data_MgZnSb2
_symmetry_space_group_name_H-M 'C 1 2/m 1'
_symmetry_Int_Tables_number 12
_cell_length_a 8.9069
_cell_length_b 4.0168
_cell_length_c 5.7515
_cell_angle_alpha 90.00
_cell_angle_beta 110.23
_cell_angle_gamma 90.00
loop_
_symmetry_equiv_pos_as_xyz
'x,y,z'
'-x,-y,-z'
'-x,y,-z'
'x,-y,z'
'x+1/2,y+1/2,z'
'-x+1/2,-y+1/2,-z'
'-x+1/2,y+1/2,-z'
'x+1/2,-y+1/2,z'
loop_
_atom_site_label
_atom_site_type_symbol
_atom_site_fract_x
_atom_site_fract_y
_atom_site_fract_z
_atom_site_occupancy
Mg1 Mg 0.0000 0.0000 0.0000 1
Zn1 Zn 0.0000 0.5000 0.5000 1
Sb1 Sb 0.2346 0.0000 0.7477 1
```

Density (Mg/m³): 5.7
Formation energy from raw total energies (eV per atom): -0.006
Polymorph energy (0 for the lowest one) (meV/atom): 22.0

=====

A geometry-optimized MgZnSb2 structure, computed with PBE.

Cell and atoms, written as CIF:
```
data_MgZnSb2
_symmetry_space_group_name_H-M 'P 1 2/m 1'
_symmetry_Int_Tables_number 10
_cell_length_a 4.3704
_cell_length_b 4.0606
_cell_length_c 5.8156
_cell_angle_alpha 90.00
_cell_angle_beta 111.35
_cell_angle_gamma 90.00
loop_
_symmetry_equiv_pos_as_xyz
'x,y,z'
'-x,-y,-z'
'-x,y,-z'
'x,-y,z'
loop_
_atom_site_label
_atom_site_type_symbol
_atom_site_fract_x
_atom_site_fract_y
_atom_site_fract_z
_atom_site_occupancy
Mg1 Mg 0.0000 0.0000 0.0000 1
Zn1 Zn 0.0000 0.5000 0.5000 1
Sb1 Sb 0.5000 0.0000 0.5000 1
Sb2 Sb 0.5000 0.5000 0.0000 1
```

Density (Mg/m³): 5.8
Formation energy from raw total energies (eV per atom): -0.028
Polymorph energy (0 for the lowest one) (meV/atom): 0.0

=====

A geometry-optimized MgZnSb2 structure, computed with PBE.

Cell and atoms, written as CIF:
```
data_MgZnSb2
_symmetry_space_group_name_H-M 'P 4/m m m'
_symmetry_Int_Tables_number 123
_symmetry_space_group_name_Hall '-P 4 2'
_cell_length_a 3.3841
_cell_length_b 3.3841
_cell_length_c 8.1729
_cell_angle_alpha 90.00
_cell_angle_beta 90.00
_cell_angle_gamma 90.00
loop_
_atom_site_label
_atom_site_type_symbol
_atom_site_fract_x
_atom_site_fract_y
_atom_site_fract_z
_atom_site_occupancy
Mg1 Mg 0.0000 0.0000 0.0000 1
Zn1 Zn 0.0000 0.0000 0.5000 1
Sb1 Sb 0.5000 0.5000 0.2542 1
```

Density (Mg/m³): 5.9
Formation energy from raw total energies (eV per atom): 0.047
Polymorph energy (0 for the lowest one) (meV/atom): 74.6

=====

A geometry-optimized MgZnSb2 structure, computed with PBE.

Cell and atoms, written as CIF:
```
data_MgZnSb2
_symmetry_space_group_name_H-M 'P m m m'
_symmetry_Int_Tables_number 47
_cell_length_a 4.1905
_cell_length_b 4.1942
_cell_length_c 5.3840
_cell_angle_alpha 90.00
_cell_angle_beta 90.00
_cell_angle_gamma 90.00
loop_
_symmetry_equiv_pos_as_xyz
'x,y,z'
'-x,-y,-z'
'-x,-y,z'
'x,y,-z'
'x,-y,-z'
'-x,y,z'
'-x,y,-z'
'x,-y,z'
loop_
_atom_site_label
_atom_site_type_symbol
_atom_site_fract_x
_atom_site_fract_y
_atom_site_fract_z
_atom_site_occupancy
Mg1 Mg 0.0000 0.0000 0.0000 1
Zn1 Zn 0.0000 0.5000 0.5000 1
Sb1 Sb 0.5000 0.0000 0.5000 1
Sb2 Sb 0.5000 0.5000 0.0000 1
```

Density (Mg/m³): 5.8
Formation energy from raw total energies (eV per atom): 0.033
Polymorph energy (0 for the lowest one) (meV/atom): 60.8

=====

A geometry-optimized MgZnSb2 structure, computed with PBE.

Cell and atoms, written as CIF:
```
data_MgZnSb2
_symmetry_space_group_name_H-M 'P 1 m 1'
_symmetry_Int_Tables_number 6
_cell_length_a 3.2980
_cell_length_b 5.7810
_cell_length_c 5.0348
_cell_angle_alpha 90.00
_cell_angle_beta 90.03
_cell_angle_gamma 90.00
loop_
_symmetry_equiv_pos_as_xyz
'x,y,z'
'x,-y,z'
loop_
_atom_site_label
_atom_site_type_symbol
_atom_site_fract_x
_atom_site_fract_y
_atom_site_fract_z
_atom_site_occupancy
Mg1 Mg 0.0000 0.0000 0.0000 1
Zn1 Zn 0.5082 0.5000 0.5126 1
Sb1 Sb 0.0036 0.5000 0.0115 1
Sb2 Sb 0.5011 0.0000 0.5006 1
```

Density (Mg/m³): 5.8
Formation energy from raw total energies (eV per atom): -0.024
Polymorph energy (0 for the lowest one) (meV/atom): 3.9

=====

A geometry-optimized Mg2ZnSb2 structure, computed with PBE.

Cell and atoms, written as CIF:
```
data_Mg2ZnSb2
_symmetry_space_group_name_H-M 'I 4/m m m'
_symmetry_Int_Tables_number 139
_symmetry_space_group_name_Hall '-I 4 2'
_cell_length_a 4.4469
_cell_length_b 4.4469
_cell_length_c 13.9349
_cell_angle_alpha 90.00
_cell_angle_beta 90.00
_cell_angle_gamma 90.00
loop_
_atom_site_label
_atom_site_type_symbol
_atom_site_fract_x
_atom_site_fract_y
_atom_site_fract_z
_atom_site_occupancy
Mg1 Mg 0.0000 0.0000 0.1026 1
Zn1 Zn 0.0000 0.0000 0.5000 1
Sb1 Sb 0.0000 0.5000 0.2500 1
```

Density (Mg/m³): 4.3
Formation energy from raw total energies (eV per atom): 0.105
Polymorph energy (0 for the lowest one) (meV/atom): 351.7

=====

A geometry-optimized MgZn2Sb2 structure, computed with PBE.

Cell and atoms, written as CIF:
```
data_MgZn2Sb2
_symmetry_space_group_name_H-M 'P 4/m b m'
_symmetry_Int_Tables_number 127
_symmetry_space_group_name_Hall '-P 4 2ab'
_cell_length_a 7.4748
_cell_length_b 7.4748
_cell_length_c 3.9044
_cell_angle_alpha 90.00
_cell_angle_beta 90.00
_cell_angle_gamma 90.00
loop_
_atom_site_label
_atom_site_type_symbol
_atom_site_fract_x
_atom_site_fract_y
_atom_site_fract_z
_atom_site_occupancy
Mg1 Mg 0.0000 0.0000 0.0000 1
Zn1 Zn 0.1213 0.3787 0.0000 1
Sb1 Sb 0.1834 0.6834 0.5000 1
```

Density (Mg/m³): 6.1
Formation energy from raw total energies (eV per atom): 0.045

=====

A geometry-optimized Mg2ZnSb2 structure, computed with PBE.

Cell and atoms, written as CIF:
```
data_Mg2ZnSb2
_symmetry_space_group_name_H-M 'P 4/m b m'
_symmetry_Int_Tables_number 127
_symmetry_space_group_name_Hall '-P 4 2ab'
_cell_length_a 8.5776
_cell_length_b 8.5776
_cell_length_c 3.3286
_cell_angle_alpha 90.00
_cell_angle_beta 90.00
_cell_angle_gamma 90.00
loop_
_atom_site_label
_atom_site_type_symbol
_atom_site_fract_x
_atom_site_fract_y
_atom_site_fract_z
_atom_site_occupancy
Mg1 Mg 0.1368 0.3632 0.0000 1
Zn1 Zn 0.0000 0.0000 0.5000 1
Sb1 Sb 0.1625 0.6625 0.5000 1
```

Density (Mg/m³): 4.8
Formation energy from raw total energies (eV per atom): -0.048
Polymorph energy (0 for the lowest one) (meV/atom): 198.9

=====

A geometry-optimized MgZnSb2 structure, computed with PBE.

Cell and atoms, written as CIF:
```
data_MgZnSb2
_symmetry_space_group_name_H-M 'F -4 3 m'
_symmetry_Int_Tables_number 216
_symmetry_space_group_name_Hall 'F -4 2 3'
_cell_length_a 7.2674
_cell_length_b 7.2674
_cell_length_c 7.2674
_cell_angle_alpha 90.00
_cell_angle_beta 90.00
_cell_angle_gamma 90.00
loop_
_atom_site_label
_atom_site_type_symbol
_atom_site_fract_x
_atom_site_fract_y
_atom_site_fract_z
_atom_site_occupancy
Mg1 Mg 0.0000 0.0000 0.0000 1
Zn1 Zn 0.2500 0.2500 0.2500 1
Sb1 Sb 0.0000 0.0000 0.5000 1
Sb2 Sb 0.2500 0.2500 0.7500 1
```

Density (Mg/m³): 5.8
Formation energy from raw total energies (eV per atom): 0.145
Polymorph energy (0 for the lowest one) (meV/atom): 172.7

=====

A geometry-optimized Mg2ZnSb2 structure, computed with PBE.

Cell and atoms, written as CIF:
```
data_Mg2ZnSb2
_symmetry_space_group_name_H-M 'I 4/m m m'
_symmetry_Int_Tables_number 139
_symmetry_space_group_name_Hall '-I 4 2'
_cell_length_a 5.1435
_cell_length_b 5.1435
_cell_length_c 10.8692
_cell_angle_alpha 90.00
_cell_angle_beta 90.00
_cell_angle_gamma 90.00
loop_
_atom_site_label
_atom_site_type_symbol
_atom_site_fract_x
_atom_site_fract_y
_atom_site_fract_z
_atom_site_occupancy
Mg1 Mg 0.0000 0.5000 0.2500 1
Zn1 Zn 0.0000 0.0000 0.0000 1
Sb1 Sb 0.0000 0.0000 0.3713 1
```

Density (Mg/m³): 4.1
Formation energy from raw total energies (eV per atom): -0.048
Polymorph energy (0 for the lowest one) (meV/atom): 198.9

=====

A geometry-optimized MgZnSb2 structure, computed with PBE.

Cell and atoms, written as CIF:
```
data_MgZnSb2
_symmetry_space_group_name_H-M 'P 4 m m'
_symmetry_Int_Tables_number 99
_cell_length_a 3.6735
_cell_length_b 3.6735
_cell_length_c 7.6612
_cell_angle_alpha 90.00
_cell_angle_beta 90.00
_cell_angle_gamma 90.00
loop_
_symmetry_equiv_pos_as_xyz
'x,y,z'
'-y,x,z'
'-x,-y,z'
'y,-x,z'
'-x,y,z'
'y,x,z'
'x,-y,z'
'-y,-x,z'
loop_
_atom_site_label
_atom_site_type_symbol
_atom_site_fract_x
_atom_site_fract_y
_atom_site_fract_z
_atom_site_occupancy
Mg1 Mg 0.0000 0.0000 0.0000 1
Zn1 Zn 0.5000 0.5000 0.7985 1
Sb1 Sb 0.0000 0.0000 0.6235 1
Sb2 Sb 0.5000 0.5000 0.1857 1
```

Density (Mg/m³): 5.4
Formation energy from raw total energies (eV per atom): -0.007
Polymorph energy (0 for the lowest one) (meV/atom): 20.5

=====

A geometry-optimized MgZn3Sb3 structure, computed with PBE.

Cell and atoms, written as CIF:
```
data_MgZn3Sb3
_symmetry_space_group_name_H-M 'R -3'
_symmetry_Int_Tables_number 148
_symmetry_space_group_name_Hall '-R 3'
_cell_length_a 7.4216
_cell_length_b 7.4216
_cell_length_c 21.9260
_cell_angle_alpha 90.00
_cell_angle_beta 90.00
_cell_angle_gamma 120.00
loop_
_atom_site_label
_atom_site_type_symbol
_atom_site_fract_x
_atom_site_fract_y
_atom_site_fract_z
_atom_site_occupancy
Mg1 Mg 0.0000 0.0000 0.1633 1
Zn1 Zn 0.0047 0.6775 0.9634 1
Sb1 Sb 0.0042 0.6601 0.0894 1
```

Density (Mg/m³): 5.6
Formation energy from raw total energies (eV per atom): -0.075